[1]
PBE Cu2Si, relaxed; E = -4.524 eV/atom; formation energy (no corrections) = 0.014 eV/atom
1.0
4.330 0.000 0.000
0.000 7.503 0.000
-1.643 0.000 4.617
Cu Si
8 4
Direct
0.000 0.078 0.250
0.000 0.256 0.750
0.000 0.744 0.250
0.000 0.922 0.750
0.500 0.244 0.250
0.500 0.422 0.750
0.500 0.578 0.250
0.500 0.756 0.750
0.000 0.412 0.250
0.000 0.588 0.750
0.500 0.088 0.750
0.500 0.912 0.250

[2]
PBE Cu2Si, relaxed; E = -4.538 eV/atom; formation energy (no corrections) = 0.000 eV/atom
1.0
7.644 0.000 0.000
0.000 4.412 0.000
0.000 0.000 4.377
Cu Si
8 4
Direct
0.166 0.184 0.250
0.166 0.816 0.750
0.334 0.316 0.750
0.334 0.684 0.250
0.666 0.316 0.750
0.666 0.684 0.250
0.834 0.184 0.250
0.834 0.816 0.750
0.000 0.317 0.750
0.000 0.683 0.250
0.500 0.183 0.250
0.500 0.817 0.750

[3]
PBE Cu5Si, relaxed; E = -4.279 eV/atom; excess energy over the best structure of this formula in the dataset = 0.095 eV per atom; formation energy (no corrections) = 0.038 eV/atom
1.0
2.588 0.000 0.000
0.000 2.588 0.000
0.000 0.000 10.949
Cu Si
5 1
Direct
0.000 0.000 0.000
0.000 0.000 0.333
0.000 0.000 0.667
0.500 0.500 0.164
0.500 0.500 0.836
0.500 0.500 0.500

[4]
PBE Cu2Si, relaxed; E = -4.523 eV/atom; formation energy (no corrections) = 0.015 eV/atom
1.0
10.016 0.000 0.000
0.000 2.547 0.000
-2.644 0.000 5.945
Cu Si
8 4
Direct
0.058 0.000 0.312
0.139 0.500 0.029
0.361 0.000 0.971
0.442 0.500 0.688
0.558 0.500 0.312
0.639 0.000 0.029
0.861 0.500 0.971
0.942 0.000 0.688
0.166 0.500 0.666
0.334 0.000 0.334
0.666 0.000 0.666
0.834 0.500 0.334

[5]
PBE Cu3Si4, relaxed; E = -4.312 eV/atom; formation energy (no corrections) = 0.542 eV/atom
1.0
4.833 0.000 0.000
0.000 4.833 0.000
0.000 0.000 4.833
Cu Si
3 4
Direct
0.000 0.000 0.500
0.000 0.500 0.000
0.500 0.000 0.000
0.000 0.000 0.000
0.000 0.500 0.500
0.500 0.000 0.500
0.500 0.500 0.000

[6]
PBE Cu3Si4, relaxed; E = -4.628 eV/atom; formation energy (no corrections) = 0.226 eV/atom
1.0
3.401 0.000 0.000
0.000 3.401 0.000
0.000 0.000 16.592
Cu Si
6 8
Direct
0.000 0.000 0.000
0.000 0.000 0.285
0.000 0.000 0.715
0.500 0.500 0.215
0.500 0.500 0.500
0.500 0.500 0.785
0.000 0.000 0.142
0.000 0.000 0.427
0.000 0.000 0.573
0.000 0.000 0.858
0.500 0.500 0.073
0.500 0.500 0.358
0.500 0.500 0.642
0.500 0.500 0.927

[7]
PBE Cu3Si5, relaxed; E = -4.592 eV/atom; excess energy over the best structure of this formula in the dataset = 0.157 eV per atom; formation energy (no corrections) = 0.334 eV/atom
1.0
7.524 0.000 0.000
-3.762 6.516 0.000
0.000 0.000 4.582
Cu Si
6 10
Direct
0.000 0.421 0.250
0.000 0.579 0.750
0.421 0.000 0.250
0.421 0.421 0.750
0.579 0.000 0.750
0.579 0.579 0.250
0.000 0.208 0.750
0.000 0.792 0.250
0.208 0.000 0.750
0.208 0.208 0.250
0.333 0.667 0.000
0.333 0.667 0.500
0.667 0.333 0.000
0.667 0.333 0.500
0.792 0.000 0.250
0.792 0.792 0.750

[8]
PBE Cu3Si5, relaxed; E = -4.604 eV/atom; excess energy over the best structure of this formula in the dataset = 0.145 eV per atom; formation energy (no corrections) = 0.322 eV/atom
1.0
3.387 0.000 0.000
0.000 3.387 0.000
0.000 0.000 9.790
Cu Si
3 5
Direct
0.000 0.000 0.000
0.500 0.500 0.376
0.500 0.500 0.624
0.000 0.000 0.242
0.000 0.000 0.500
0.000 0.000 0.758
0.500 0.500 0.132
0.500 0.500 0.868

[9]
PBE Cu5Si3, relaxed; E = -4.521 eV/atom; excess energy over the best structure of this formula in the dataset = 0.024 eV per atom; formation energy (no corrections) = 0.073 eV/atom
1.0
2.494 -5.982 0.000
2.494 5.982 0.000
-1.145 0.000 7.045
Cu Si
10 6
Direct
0.155 0.839 0.824
0.161 0.845 0.176
0.269 0.269 0.059
0.309 0.546 0.669
0.454 0.691 0.331
0.546 0.309 0.669
0.691 0.454 0.331
0.731 0.731 0.941
0.839 0.155 0.824
0.845 0.161 0.176
0.169 0.169 0.388
0.205 0.795 0.500
0.330 0.670 0.000
0.670 0.330 0.000
0.795 0.205 0.500
0.831 0.831 0.612

[10]
PBE Cu5Si, relaxed; E = -4.333 eV/atom; excess energy over the best structure of this formula in the dataset = 0.042 eV per atom; formation energy (no corrections) = -0.015 eV/atom
1.0
4.077 0.000 0.000
0.000 2.826 0.000
0.000 0.000 12.596
Cu Si
10 2
Direct
0.000 0.000 0.000
0.000 0.000 0.329
0.000 0.500 0.500
0.000 0.500 0.829
0.500 0.000 0.129
0.500 0.000 0.459
0.500 0.000 0.795
0.500 0.500 0.295
0.500 0.500 0.629
0.500 0.500 0.959
0.000 0.000 0.663
0.000 0.500 0.163

[11]
PBE Cu2Si, relaxed; E = -4.518 eV/atom; formation energy (no corrections) = 0.020 eV/atom
1.0
9.197 0.000 0.000
0.000 2.783 0.000
-1.249 0.000 5.861
Cu Si
8 4
Direct
0.000 0.000 0.000
0.063 0.000 0.597
0.183 0.500 0.308
0.342 0.000 0.661
0.500 0.500 0.000
0.563 0.500 0.597
0.683 0.000 0.308
0.842 0.500 0.661
0.219 0.500 0.910
0.405 0.000 0.288
0.719 0.000 0.910
0.905 0.500 0.288

[12]
PBE Cu2Si, relaxed; E = -4.359 eV/atom; formation energy (no corrections) = 0.180 eV/atom
1.0
2.647 0.000 0.000
-1.324 2.292 0.000
0.000 0.000 6.423
Cu Si
2 1
Direct
0.000 0.000 0.191
0.000 0.000 0.809
0.333 0.667 0.500